(1)
{
  "formula": "BaSnBi2",
  "functional": "PBE",
  "state": "optimized geometry",
  "ef_ev_per_atom": -0.31,
  "space_group": "I-42d",
  "lattice_angstrom": [[-4.345, 4.345, 4.328], [4.345, -4.345, 4.328], [4.345, 4.345, -4.328]],
  "species": ["Ba", "Ba", "Sn", "Sn", "Bi", "Bi", "Bi", "Bi"],
  "fractional_positions": [[0.000, 0.000, 0.000], [0.750, 0.250, 0.500], [0.250, 0.750, 0.500], [0.500, 0.500, 0.000], [0.188, 0.125, 0.563], [0.375, 0.812, 0.937], [0.562, 0.625, 0.437], [0.875, 0.438, 0.063]]
}

=====

(2)
{
  "formula": "Ba3Sn8Bi",
  "functional": "PBE",
  "state": "optimized geometry",
  "ef_ev_per_atom": -0.39,
  "space_group": "P3m1",
  "lattice_angstrom": [[6.528, 0.000, 0.000], [-3.264, 5.653, 0.000], [0.000, 0.000, 10.633]],
  "species": ["Ba", "Ba", "Ba", "Sn", "Sn", "Sn", "Sn", "Sn", "Sn", "Sn", "Sn", "Bi"],
  "fractional_positions": [[0.000, 0.000, 0.000], [0.000, 0.000, 0.379], [0.333, 0.667, 0.849], [0.007, 0.504, 0.180], [0.318, 0.159, 0.686], [0.496, 0.504, 0.180], [0.496, 0.993, 0.180], [0.667, 0.333, 0.461], [0.667, 0.333, 0.920], [0.841, 0.159, 0.686], [0.841, 0.682, 0.686], [0.333, 0.667, 0.432]]
}

=====

(3)
{
  "formula": "BaSnBiTe2",
  "functional": "PBE",
  "state": "optimized geometry",
  "space_group": "P4/mmm",
  "formation_energy_uncorrected_ev_per_atom": 0.624,
  "lattice_angstrom": [[6.347, 0.000, 0.000], [0.000, 6.347, 0.000], [0.000, 0.000, 6.305]],
  "species": ["Ba", "Sn", "Bi", "Te", "Te"],
  "fractional_positions": [[0.000, 0.000, 0.000], [0.000, 0.000, 0.500], [0.500, 0.500, 0.500], [0.000, 0.500, 0.000], [0.500, 0.000, 0.000]]
}

=====

(4)
{
  "formula": "BaSn2BiTe4",
  "functional": "PBE",
  "state": "optimized geometry",
  "space_group": "I-4m2",
  "formation_energy_uncorrected_ev_per_atom": -0.541,
  "lattice_angstrom": [[-3.328, 3.328, 6.574], [3.328, -3.328, 6.574], [3.328, 3.328, -6.574]],
  "species": ["Ba", "Sn", "Sn", "Bi", "Te", "Te", "Te", "Te"],
  "fractional_positions": [[0.000, 0.000, 0.000], [0.500, 0.500, 0.000], [0.750, 0.250, 0.500], [0.250, 0.750, 0.500], [0.003, 0.503, 0.500], [0.262, 0.262, 0.000], [0.497, 0.997, 0.500], [0.738, 0.738, 0.000]]
}

=====

(5)
{
  "formula": "BaTiSn2Bi",
  "functional": "PBE",
  "state": "optimized geometry",
  "ef_ev_per_atom": -0.34,
  "space_group": "P4/mmm",
  "lattice_angstrom": [[5.396, 0.000, 0.000], [0.000, 5.396, 0.000], [0.000, 0.000, 5.494]],
  "species": ["Ba", "Ti", "Sn", "Sn", "Bi"],
  "fractional_positions": [[0.000, 0.000, 0.000], [0.500, 0.500, 0.500], [0.000, 0.500, 0.500], [0.500, 0.000, 0.500], [0.500, 0.500, 0.000]]
}

=====

(6)
{
  "formula": "BaTi2SnBi",
  "functional": "PBE",
  "state": "optimized geometry",
  "ef_ev_per_atom": 0.60,
  "space_group": "P4/mmm",
  "lattice_angstrom": [[5.342, 0.000, 0.000], [0.000, 5.342, 0.000], [0.000, 0.000, 6.467]],
  "species": ["Ba", "Ti", "Ti", "Sn", "Bi"],
  "fractional_positions": [[0.000, 0.000, 0.000], [0.000, 0.500, 0.500], [0.500, 0.000, 0.500], [0.500, 0.500, 0.000], [0.000, 0.000, 0.500]]
}

=====

(7)
{
  "formula": "Ba3Tl4Sn2Bi2",
  "functional": "PBE",
  "state": "optimized geometry",
  "ef_ev_per_atom": -0.40,
  "space_group": "I4/mmm",
  "lattice_angstrom": [[-2.546, 2.546, 15.786], [2.546, -2.546, 15.786], [2.546, 2.546, -15.786]],
  "species": ["Ba", "Ba", "Ba", "Tl", "Tl", "Tl", "Tl", "Sn", "Sn", "Bi", "Bi"],
  "fractional_positions": [[0.000, 0.000, 0.000], [0.199, 0.199, 0.000], [0.801, 0.801, 0.000], [0.108, 0.608, 0.500], [0.392, 0.892, 0.500], [0.608, 0.108, 0.500], [0.892, 0.392, 0.500], [0.456, 0.456, 0.000], [0.544, 0.544, 0.000], [0.315, 0.315, 0.000], [0.685, 0.685, 0.000]]
}

=====

(8)
{
  "formula": "BaTlSnBi",
  "functional": "PBE",
  "state": "optimized geometry",
  "ef_ev_per_atom": -0.29,
  "space_group": "F-43m",
  "lattice_angstrom": [[0.000, 4.100, 4.100], [4.100, 0.000, 4.100], [4.100, 4.100, 0.000]],
  "species": ["Ba", "Tl", "Sn", "Bi"],
  "fractional_positions": [[0.000, 0.000, 0.000], [0.250, 0.250, 0.250], [0.500, 0.500, 0.500], [0.750, 0.750, 0.750]]
}

=====

(9)
{
  "formula": "Ba2Zn4Sn3Bi",
  "functional": "PBE",
  "state": "optimized geometry",
  "ef_ev_per_atom": -0.40,
  "space_group": "P-4m2",
  "lattice_angstrom": [[4.910, 0.000, 0.000], [0.000, 4.910, 0.000], [0.000, 0.000, 11.281]],
  "species": ["Ba", "Ba", "Zn", "Zn", "Zn", "Zn", "Sn", "Sn", "Sn", "Bi"],
  "fractional_positions": [[0.000, 0.500, 0.239], [0.500, 0.000, 0.761], [0.000, 0.000, 0.000], [0.000, 0.500, 0.637], [0.500, 0.000, 0.363], [0.500, 0.500, 0.000], [0.000, 0.500, 0.876], [0.500, 0.000, 0.124], [0.500, 0.500, 0.500], [0.000, 0.000, 0.500]]
}

=====

(10)
{
  "formula": "Ba5Sr5Bi6",
  "functional": "PBE",
  "state": "optimized geometry",
  "ef_ev_per_atom": -0.88,
  "space_group": "Amm2",
  "lattice_angstrom": [[7.698, 0.000, 0.000], [0.000, 8.698, 5.053], [0.000, -8.698, 5.053]],
  "species": ["Ba", "Ba", "Ba", "Ba", "Ba", "Sr", "Sr", "Sr", "Sr", "Sr", "Bi", "Bi", "Bi", "Bi", "Bi", "Bi"],
  "fractional_positions": [[0.000, 0.000, 0.000], [0.000, 0.493, 0.744], [0.000, 0.744, 0.493], [0.500, 0.745, 0.998], [0.500, 0.998, 0.745], [0.250, 0.080, 0.413], [0.250, 0.413, 0.080], [0.500, 0.488, 0.488], [0.750, 0.080, 0.413], [0.750, 0.413, 0.080], [0.000, 0.140, 0.745], [0.000, 0.351, 0.351], [0.000, 0.745, 0.140], [0.500, 0.144, 0.144], [0.500, 0.353, 0.739], [0.500, 0.739, 0.353]]
}

=====

(11)
{
  "formula": "Ba5SrBi4",
  "functional": "PBE",
  "state": "optimized geometry",
  "ef_ev_per_atom": -0.86,
  "space_group": "C2/m",
  "de_polymorph_ev_per_atom": 0.000,
  "lattice_angstrom": [[9.287, -2.915, 0.000], [9.287, 2.915, 0.000], [-0.026, 0.000, 8.715]],
  "species": ["Ba", "Ba", "Ba", "Ba", "Ba", "Sr", "Bi", "Bi", "Bi", "Bi"],
  "fractional_positions": [[0.000, 0.000, 0.000], [0.340, 0.340, 0.988], [0.342, 0.342, 0.516], [0.658, 0.658, 0.484], [0.660, 0.660, 0.012], [0.000, 0.000, 0.500], [0.185, 0.185, 0.250], [0.486, 0.486, 0.255], [0.514, 0.514, 0.745], [0.815, 0.815, 0.750]]
}

=====

(12)
{
  "formula": "BaSr2Bi2",
  "functional": "PBE",
  "state": "optimized geometry",
  "ef_ev_per_atom": -0.72,
  "space_group": "I4/mmm",
  "de_polymorph_ev_per_atom": 0.190,
  "lattice_angstrom": [[-2.671, 2.671, 7.675], [2.671, -2.671, 7.675], [2.671, 2.671, -7.675]],
  "species": ["Ba", "Sr", "Sr", "Bi", "Bi"],
  "fractional_positions": [[0.000, 0.000, 0.000], [0.250, 0.750, 0.500], [0.750, 0.250, 0.500], [0.385, 0.385, 0.000], [0.615, 0.615, 0.000]]
}

=====

(13)
{
  "formula": "Ba3SrBi",
  "functional": "PBE",
  "state": "optimized geometry",
  "ef_ev_per_atom": 0.53,
  "space_group": "Pm-3m",
  "de_polymorph_ev_per_atom": 0.827,
  "lattice_angstrom": [[6.535, 0.000, 0.000], [0.000, 6.535, 0.000], [0.000, 0.000, 6.535]],
  "species": ["Ba", "Ba", "Ba", "Sr", "Bi"],
  "fractional_positions": [[0.000, 0.000, 0.500], [0.000, 0.500, 0.000], [0.500, 0.000, 0.000], [0.000, 0.000, 0.000], [0.500, 0.500, 0.500]]
}

=====

(14)
{
  "formula": "Ba2SrBi",
  "functional": "PBE",
  "state": "optimized geometry",
  "ef_ev_per_atom": -0.33,
  "space_group": "I-42d",
  "lattice_angstrom": [[-5.319, 5.319, 3.797], [5.319, -5.319, 3.797], [5.319, 5.319, -3.797]],
  "species": ["Ba", "Ba", "Ba", "Ba", "Sr", "Sr", "Bi", "Bi"],
  "fractional_positions": [[0.060, 0.625, 0.935], [0.375, 0.310, 0.435], [0.690, 0.125, 0.065], [0.875, 0.940, 0.565], [0.250, 0.750, 0.500], [0.500, 0.500, 0.000], [0.000, 0.000, 0.000], [0.750, 0.250, 0.500]]
}

=====

(15)
{
  "formula": "BaSrBi4",
  "functional": "PBE",
  "state": "optimized geometry",
  "ef_ev_per_atom": -0.52,
  "space_group": "Pbam",
  "de_polymorph_ev_per_atom": 0.000,
  "lattice_angstrom": [[11.850, 0.000, 0.000], [0.000, 17.407, 0.000], [0.000, 0.000, 4.589]],
  "species": ["Ba", "Ba", "Ba", "Ba", "Sr", "Sr", "Sr", "Sr", "Bi", "Bi", "Bi", "Bi", "Bi", "Bi", "Bi", "Bi", "Bi", "Bi", "Bi", "Bi", "Bi", "Bi", "Bi", "Bi"],
  "fractional_positions": [[0.099, 0.131, 0.000], [0.401, 0.631, 0.000], [0.599, 0.369, 0.000], [0.901, 0.869, 0.000], [0.135, 0.415, 0.000], [0.365, 0.915, 0.000], [0.635, 0.085, 0.000], [0.865, 0.585, 0.000], [0.028, 0.287, 0.500], [0.130, 0.953, 0.500], [0.163, 0.569, 0.500], [0.212, 0.781, 0.500], [0.288, 0.281, 0.500], [0.337, 0.069, 0.500], [0.370, 0.453, 0.500], [0.472, 0.787, 0.500], [0.528, 0.213, 0.500], [0.630, 0.547, 0.500], [0.663, 0.931, 0.500], [0.712, 0.719, 0.500], [0.788, 0.219, 0.500], [0.837, 0.431, 0.500], [0.870, 0.047, 0.500], [0.972, 0.713, 0.500]]
}

=====

(16)
{
  "formula": "BaSrBi2",
  "functional": "PBE",
  "state": "optimized geometry",
  "ef_ev_per_atom": -0.61,
  "space_group": "I-42d",
  "de_polymorph_ev_per_atom": 0.155,
  "lattice_angstrom": [[-4.667, 4.667, 3.714], [4.667, -4.667, 3.714], [4.667, 4.667, -3.714]],
  "species": ["Ba", "Ba", "Sr", "Sr", "Bi", "Bi", "Bi", "Bi"],
  "fractional_positions": [[0.000, 0.000, 0.000], [0.750, 0.250, 0.500], [0.250, 0.750, 0.500], [0.500, 0.500, 0.000], [0.139, 0.125, 0.514], [0.375, 0.861, 0.986], [0.611, 0.625, 0.486], [0.875, 0.389, 0.014]]
}

=====

(17)
{
  "formula": "BaSrBi",
  "functional": "PBE",
  "state": "optimized geometry",
  "ef_ev_per_atom": -0.60,
  "space_group": "P3m1",
  "de_polymorph_ev_per_atom": 0.146,
  "lattice_angstrom": [[5.574, 0.000, 0.000], [-2.787, 4.827, 0.000], [0.000, 0.000, 5.157]],
  "species": ["Ba", "Sr", "Bi"],
  "fractional_positions": [[0.000, 0.000, 0.000], [0.333, 0.667, 0.507], [0.667, 0.333, 0.435]]
}

=====

(18)
{
  "formula": "BaSr2Bi2",
  "functional": "PBE",
  "state": "optimized geometry",
  "ef_ev_per_atom": -0.80,
  "space_group": "P4/mbm",
  "de_polymorph_ev_per_atom": 0.102,
  "lattice_angstrom": [[9.639, 0.000, 0.000], [0.000, 9.639, 0.000], [0.000, 0.000, 4.377]],
  "species": ["Ba", "Ba", "Sr", "Sr", "Sr", "Sr", "Bi", "Bi", "Bi", "Bi"],
  "fractional_positions": [[0.000, 0.000, 0.000], [0.500, 0.500, 0.000], [0.137, 0.363, 0.500], [0.363, 0.863, 0.500], [0.637, 0.137, 0.500], [0.863, 0.637, 0.500], [0.163, 0.663, 0.000], [0.337, 0.163, 0.000], [0.663, 0.837, 0.000], [0.837, 0.337, 0.000]]
}

=====

(19)
{
  "formula": "BaSrBi2",
  "functional": "PBE",
  "state": "optimized geometry",
  "ef_ev_per_atom": -0.59,
  "space_group": "Amm2",
  "de_polymorph_ev_per_atom": 0.181,
  "lattice_angstrom": [[4.126, 0.000, 0.000], [0.000, 4.074, 5.037], [0.000, -4.074, 5.037]],
  "species": ["Ba", "Sr", "Bi", "Bi"],
  "fractional_positions": [[0.000, 0.000, 0.000], [0.500, 0.554, 0.554], [0.500, 0.066, 0.484], [0.500, 0.484, 0.066]]
}

=====

(20)
{
  "formula": "Ba2SrBi",
  "functional": "PBE",
  "state": "optimized geometry",
  "ef_ev_per_atom": -0.41,
  "space_group": "R3m",
  "lattice_angstrom": [[2.502, 1.445, 11.354], [-2.502, 1.445, 11.354], [0.000, -2.889, 11.354]],
  "species": ["Ba", "Ba", "Sr", "Bi"],
  "fractional_positions": [[0.000, 0.000, 0.000], [0.221, 0.221, 0.221], [0.446, 0.446, 0.446], [0.610, 0.610, 0.610]]
}

=====

(21)
{
  "formula": "Ba5SrBi4",
  "functional": "PBE",
  "state": "optimized geometry",
  "ef_ev_per_atom": -0.80,
  "space_group": "Immm",
  "de_polymorph_ev_per_atom": 0.058,
  "lattice_angstrom": [[-2.651, 6.045, 7.028], [2.651, -6.045, 7.028], [2.651, 6.045, -7.028]],
  "species": ["Ba", "Ba", "Ba", "Ba", "Ba", "Sr", "Bi", "Bi", "Bi", "Bi"],
  "fractional_positions": [[0.000, 0.000, 0.000], [0.142, 0.833, 0.309], [0.476, 0.167, 0.309], [0.524, 0.833, 0.691], [0.858, 0.167, 0.691], [0.500, 0.500, 0.000], [0.221, 0.500, 0.721], [0.261, 0.261, 0.000], [0.739, 0.739, 0.000], [0.779, 0.500, 0.279]]
}

=====

(22)
{
  "formula": "Ba3SrBi6",
  "functional": "PBE",
  "state": "optimized geometry",
  "ef_ev_per_atom": -0.61,
  "space_group": "R-3c",
  "lattice_angstrom": [[7.211, 4.164, 4.545], [-7.211, 4.164, 4.545], [0.000, -8.327, 4.545]],
  "species": ["Ba", "Ba", "Ba", "Ba", "Ba", "Ba", "Sr", "Sr", "Bi", "Bi", "Bi", "Bi", "Bi", "Bi", "Bi", "Bi", "Bi", "Bi", "Bi", "Bi"],
  "fractional_positions": [[0.178, 0.750, 0.322], [0.250, 0.678, 0.822], [0.322, 0.178, 0.750], [0.678, 0.822, 0.250], [0.750, 0.322, 0.178], [0.822, 0.250, 0.678], [0.000, 0.000, 0.000], [0.500, 0.500, 0.500], [0.014, 0.084, 0.376], [0.084, 0.376, 0.014], [0.124, 0.416, 0.486], [0.376, 0.014, 0.084], [0.416, 0.486, 0.124], [0.486, 0.124, 0.416], [0.514, 0.876, 0.584], [0.584, 0.514, 0.876], [0.624, 0.986, 0.916], [0.876, 0.584, 0.514], [0.916, 0.624, 0.986], [0.986, 0.916, 0.624]]
}

=====

(23)
{
  "formula": "BaSr3Bi",
  "functional": "PBE",
  "state": "optimized geometry",
  "ef_ev_per_atom": 0.74,
  "space_group": "Pm-3m",
  "de_polymorph_ev_per_atom": 1.029,
  "lattice_angstrom": [[6.251, 0.000, 0.000], [0.000, 6.251, 0.000], [0.000, 0.000, 6.251]],
  "species": ["Ba", "Sr", "Sr", "Sr", "Bi"],
  "fractional_positions": [[0.000, 0.000, 0.000], [0.000, 0.000, 0.500], [0.000, 0.500, 0.000], [0.500, 0.000, 0.000], [0.500, 0.500, 0.500]]
}

=====

(24)
{
  "formula": "Ba2Sr2Bi",
  "functional": "PBE",
  "state": "optimized geometry",
  "ef_ev_per_atom": -0.16,
  "space_group": "P4/mbm",
  "de_polymorph_ev_per_atom": 0.079,
  "lattice_angstrom": [[9.145, 0.000, 0.000], [0.000, 9.145, 0.000], [0.000, 0.000, 6.565]],
  "species": ["Ba", "Ba", "Ba", "Ba", "Sr", "Sr", "Sr", "Sr", "Bi", "Bi"],
  "fractional_positions": [[0.154, 0.346, 0.000], [0.346, 0.846, 0.000], [0.654, 0.154, 0.000], [0.846, 0.654, 0.000], [0.165, 0.665, 0.500], [0.335, 0.165, 0.500], [0.665, 0.835, 0.500], [0.835, 0.335, 0.500], [0.000, 0.000, 0.000], [0.500, 0.500, 0.000]]
}